Density functional theory data (GGA-PBE) for a relaxed Tb2AlOs3 crystal.

Values from the calculation:
The total moment is 0.02 Bohr magnetons per cell. The calculation puts the total energy at -97.9 eV per cell.

Lattice parameters (Å, degrees): 5.4124 5.4124 8.6301 90.00 90.00 120.00
Atoms (fractional coordinates):
Tb1 0.3333 0.6667 0.0677
Tb2 0.3333 0.6667 0.4323
Tb3 0.6667 0.3333 0.5677
Tb4 0.6667 0.3333 0.9323
Al1 0.0000 0.0000 0.0000
Al2 0.0000 0.0000 0.5000
Os1 0.1710 0.3421 0.7500
Os2 0.1710 0.8290 0.7500
Os3 0.3421 0.1710 0.2500
Os4 0.6579 0.8290 0.7500
Os5 0.8290 0.1710 0.2500
Os6 0.8290 0.6579 0.2500